No. 1
Mg5Ge after structural relaxation, computed with PBE-GGA.

Cell and atoms, written as CIF:
```
data_Mg5Ge
_chemical_formula_sum 'Mg5 Ge1'
_cell_length_a 5.6417
_cell_length_b 5.6417
_cell_length_c 8.2669
_cell_angle_alpha 67.50
_cell_angle_beta 67.50
_cell_angle_gamma 32.73
_symmetry_space_group_name_H-M 'P 1'
_symmetry_Int_Tables_number 1
_symmetry_space_group_name_Hall 'P 1'
loop_
_atom_site_label
_atom_site_fract_x
_atom_site_fract_y
_atom_site_fract_z
Mg1 0.3115 0.3115 0.9045
Mg2 0.6372 0.6372 0.7240
Mg3 0.9673 0.9673 0.5360
Mg4 0.2865 0.2865 0.3798
Mg5 0.9893 0.9893 0.0693
Ge1 0.6415 0.6415 0.2197
```

DFT formation energy (eV/atom): -0.0395
Final energy (eV per atom): -2.14

***

No. 2
Cs3Rb2I after structural relaxation, computed with PBE-GGA.

Cell and atoms, written as CIF:
```
data_Cs3Rb2I
_chemical_formula_sum 'Cs6 Rb4 I2'
_cell_length_a 7.9476
_cell_length_b 10.5578
_cell_length_c 13.3617
_cell_angle_alpha 90.00
_cell_angle_beta 72.73
_cell_angle_gamma 90.00
_symmetry_space_group_name_H-M 'P 1'
_symmetry_Int_Tables_number 1
_symmetry_space_group_name_Hall 'P 1'
loop_
_atom_site_label
_atom_site_fract_x
_atom_site_fract_y
_atom_site_fract_z
Cs1 0.5010 0.2500 0.9999
Cs2 0.4990 0.7500 0.0001
Cs3 0.1124 0.0000 0.7752
Cs4 0.8876 0.5000 0.2248
Cs5 0.1124 0.5000 0.7752
Cs6 0.8876 0.0000 0.2248
Rb1 0.6990 0.7499 0.5995
Rb2 0.7016 0.2499 0.5995
Rb3 0.2984 0.7501 0.4005
Rb4 0.3010 0.2501 0.4005
I1 0.9988 0.7500 0.0000
I2 0.0012 0.2500 0.0000
```

Formation energy without anion corrections (meV/atom): -476
Final energy (eV per atom): -1.48

***

No. 3
SrCe2DyN4 after structural relaxation, computed with PBE-GGA.

Cell and atoms, written as CIF:
```
data_SrCe2DyN4
_chemical_formula_sum 'Sr2 Ce4 Dy2 N8'
_cell_length_a 7.1872
_cell_length_b 7.1872
_cell_length_c 7.1751
_cell_angle_alpha 119.94
_cell_angle_beta 119.94
_cell_angle_gamma 90.14
_symmetry_space_group_name_H-M 'P 1'
_symmetry_Int_Tables_number 1
_symmetry_space_group_name_Hall 'P 1'
loop_
_atom_site_label
_atom_site_fract_x
_atom_site_fract_y
_atom_site_fract_z
Sr1 0.0000 0.5000 0.0000
Sr2 0.0000 0.5000 0.5000
Ce1 0.5000 0.0000 0.0000
Ce2 0.5000 0.0000 0.5000
Ce3 0.0000 0.0000 0.5000
Ce4 0.5000 0.5000 0.0000
Dy1 0.5000 0.5000 0.5000
Dy2 0.0000 0.0000 0.0000
N1 0.2783 0.7736 0.0259
N2 0.7264 0.2217 0.4741
N3 0.2736 0.7783 0.5259
N4 0.7217 0.2264 0.9741
N5 0.7405 0.7595 0.9986
N6 0.7405 0.7595 0.5014
N7 0.2595 0.2405 0.4986
N8 0.2595 0.2405 0.0014
```

Formation energy without anion corrections (meV/atom): -1348
Final energy (eV per atom): -7.78

***

No. 4
K3TcO after structural relaxation, computed with PBE-GGA.

Cell and atoms, written as CIF:
```
data_K3TcO
_chemical_formula_sum 'K3 Tc1 O1'
_cell_length_a 5.4273
_cell_length_b 5.4273
_cell_length_c 5.4273
_cell_angle_alpha 90.00
_cell_angle_beta 90.00
_cell_angle_gamma 90.00
_symmetry_space_group_name_H-M 'P 1'
_symmetry_Int_Tables_number 1
_symmetry_space_group_name_Hall 'P 1'
loop_
_atom_site_label
_atom_site_fract_x
_atom_site_fract_y
_atom_site_fract_z
K1 0.0000 0.5000 0.0000
K2 0.0000 0.0000 0.5000
K3 0.5000 0.0000 0.0000
Tc1 0.5000 0.5000 0.5000
O1 0.0000 0.0000 0.0000
```

Formation energy without anion corrections (meV/atom): 389
Final energy (eV per atom): -3.33

***

No. 5
MgNi2Cl after structural relaxation, computed with PBE-GGA.

Cell and atoms, written as CIF:
```
data_MgNi2Cl
_chemical_formula_sum 'Mg1 Ni2 Cl1'
_cell_length_a 4.3668
_cell_length_b 4.3668
_cell_length_c 4.3668
_cell_angle_alpha 60.00
_cell_angle_beta 60.00
_cell_angle_gamma 60.00
_symmetry_space_group_name_H-M 'P 1'
_symmetry_Int_Tables_number 1
_symmetry_space_group_name_Hall 'P 1'
loop_
_atom_site_label
_atom_site_fract_x
_atom_site_fract_y
_atom_site_fract_z
Cl1 0.5000 0.5000 0.5000
Mg1 0.2500 0.2500 0.2500
Ni1 0.0000 0.0000 0.0000
Ni2 0.7500 0.7500 0.7500
```

Formation energy without anion corrections (meV/atom): 292
Final energy (eV per atom): -3.46

***

No. 6
Ti3Fe2Ge4 after structural relaxation, computed with PBE-GGA.

Cell and atoms, written as CIF:
```
data_Ti3Fe2Ge4
_chemical_formula_sum 'Ti3 Fe2 Ge4'
_cell_length_a 3.4545
_cell_length_b 6.3309
_cell_length_c 6.9836
_cell_angle_alpha 111.67
_cell_angle_beta 104.32
_cell_angle_gamma 90.00
_symmetry_space_group_name_H-M 'P 1'
_symmetry_Int_Tables_number 1
_symmetry_space_group_name_Hall 'P 1'
loop_
_atom_site_label
_atom_site_fract_x
_atom_site_fract_y
_atom_site_fract_z
Ti1 0.8704 0.3799 0.7408
Ti2 0.1296 0.6201 0.2592
Ti3 0.0000 0.0000 0.0000
Fe1 0.3210 0.0316 0.6421
Fe2 0.6790 0.9684 0.3579
Ge1 0.5083 0.3061 0.0167
Ge2 0.7949 0.7334 0.5898
Ge3 0.4917 0.6939 0.9833
Ge4 0.2051 0.2666 0.4102
```

DFT formation energy (eV/atom): -0.3818
Final energy (eV per atom): -6.95

***

No. 7
Sr2MgIn6Ag after structural relaxation, computed with PBE-GGA.

Cell and atoms, written as CIF:
```
data_Sr2MgIn6Ag
_chemical_formula_sum 'Sr4 Mg2 In12 Ag2'
_cell_length_a 7.2866
_cell_length_b 7.2866
_cell_length_c 13.5309
_cell_angle_alpha 74.38
_cell_angle_beta 74.38
_cell_angle_gamma 60.00
_symmetry_space_group_name_H-M 'P 1'
_symmetry_Int_Tables_number 1
_symmetry_space_group_name_Hall 'P 1'
loop_
_atom_site_label
_atom_site_fract_x
_atom_site_fract_y
_atom_site_fract_z
Sr1 0.8943 0.8943 0.3172
Sr2 0.1057 0.1057 0.6828
Sr3 0.7200 0.7200 0.8402
Sr4 0.2800 0.2800 0.1598
Mg1 0.5737 0.5737 0.2790
Mg2 0.4263 0.4263 0.7210
In1 0.9285 0.3329 0.4057
In2 0.3329 0.9285 0.4057
In3 0.3329 0.3329 0.4057
In4 0.0715 0.6671 0.5943
In5 0.6671 0.0715 0.5943
In6 0.6671 0.6671 0.5943
In7 0.6458 0.2248 0.9046
In8 0.2248 0.6458 0.9046
In9 0.2248 0.2248 0.9046
In10 0.3542 0.7752 0.0954
In11 0.7752 0.3542 0.0954
In12 0.7752 0.7752 0.0954
Ag1 0.0000 0.0000 0.0000
Ag2 0.5000 0.5000 0.5000
```

DFT formation energy (eV/atom): -0.1903
Final energy (eV per atom): -2.61

***

No. 8
Ru2WBr after structural relaxation, computed with PBE-GGA.

Cell and atoms, written as CIF:
```
data_Ru2WBr
_chemical_formula_sum 'Ru2 W1 Br1'
_cell_length_a 4.4972
_cell_length_b 4.4972
_cell_length_c 4.4972
_cell_angle_alpha 60.00
_cell_angle_beta 60.00
_cell_angle_gamma 60.00
_symmetry_space_group_name_H-M 'P 1'
_symmetry_Int_Tables_number 1
_symmetry_space_group_name_Hall 'P 1'
loop_
_atom_site_label
_atom_site_fract_x
_atom_site_fract_y
_atom_site_fract_z
Ru1 0.2500 0.2500 0.2500
Ru2 0.7500 0.7500 0.7500
Br1 0.0000 0.0000 0.0000
W1 0.5000 0.5000 0.5000
```

Formation energy without anion corrections (meV/atom): 1067
Final energy (eV per atom): -7.23